Entry 1:
KRbSnTe3 | PBE | optimized geometry

Computed properties:
For the formation energy without anion corrections, the calculation gives -0.562 eV/atom. The space-group type is C2/m, No. 12. For the total magnetization, the calculation gives 0.00 μB/f.u.

Lattice parameters (Å, degrees): 7.302 7.302 11.942 102.64 102.64 79.30
Element x y z (fractional)
K  0.228  0.772  0.000
K  0.772  0.228  0.000
Rb  0.189  0.189  0.616
Rb  0.811  0.811  0.384
Sn  0.432  0.432  0.232
Sn  0.568  0.568  0.768
Te  0.206  0.707  0.688
Te  0.268  0.268  0.018
Te  0.293  0.794  0.312
Te  0.707  0.206  0.688
Te  0.732  0.732  0.982
Te  0.794  0.293  0.312

Entry 2:
KRb2TlSn | PBE | optimized geometry

Computed properties:
The space-group type is P4/mmm, No. 123. For the total magnetization, the calculation gives 0.00 μB/f.u. The formation energy comes out at 0.22 eV per formula unit.

Lattice parameters (Å, degrees): 7.326 7.326 5.811 90.00 90.00 90.00
Element x y z (fractional)
K  0.000  0.000  0.000
Rb  0.000  0.500  0.500
Rb  0.500  0.000  0.500
Tl  0.500  0.500  0.000
Sn  0.500  0.500  0.500

Entry 3:
KRb2TlSn | PBE | optimized geometry

Computed properties:
The space-group type is P4/mmm, No. 123. For the total magnetization, the calculation gives 0.36 μB/f.u. The formation energy comes out at 2.16 eV per formula unit.

Lattice parameters (Å, degrees): 6.939 6.939 6.107 90.00 90.00 90.00
Element x y z (fractional)
K  0.000  0.000  0.000
Rb  0.000  0.500  0.000
Rb  0.500  0.000  0.000
Tl  0.500  0.500  0.500
Sn  0.000  0.000  0.500